VASP calculation (PBE-GGA) on a relaxed FeCo2Cl crystal.

Cell: 2.971 4.737 7.652 Å, 90.00 90.00 90.00°
Space group Cmmm (No. 65)
Unique sites:
Fe 0.000 0.000 0.000 x2
Co 0.000 0.500 0.241 x4
Cl 0.000 0.000 0.500 x2

Values from the calculation:
**E_tot**: -5.7401 eV/atom
**Crystal system**: orthorhombic
**DOS(E_F)**: 9.6 states/eV per cell